Entry w
VASP calculation (PBE) on a relaxed structure of NiIrAu2.

Fermi-level density of states = 5.2 states/eV/f.u.

The structure in POSCAR format:
```
NiIrAu2
1.0
2.8148 0.0000 0.0000
-1.4074 2.4377 0.0000
0.0000 0.0000 27.0971
Ni Ir Au
3 3 6
Cartesian
0.0000 0.0000 0.0000
0.0000 1.6251 18.0648
1.4074 0.8126 9.0324
0.0000 0.0000 13.5486
0.0000 1.6251 4.5162
1.4074 0.8126 22.5809
0.0000 0.0000 6.8993
0.0000 0.0000 20.1978
0.0000 1.6251 11.1654
0.0000 1.6251 24.9641
1.4074 0.8126 2.1331
1.4074 0.8126 15.9317
```


Entry x
VASP calculation (PBE) on a relaxed structure of NiIrAu2.

Fermi-level density of states = 5.3 states/eV/f.u.

The structure in POSCAR format:
```
NiIrAu2
1.0
4.0168 0.0000 0.0000
0.0000 4.0168 0.0000
0.0000 0.0000 7.7028
Ni Ir Au
2 2 4
Cartesian
0.0000 0.0000 0.0000
2.0084 2.0084 3.8514
0.0000 0.0000 3.8514
2.0084 2.0084 0.0000
0.0000 2.0084 1.9257
0.0000 2.0084 5.7771
2.0084 0.0000 1.9257
2.0084 0.0000 5.7771
```


Entry y
VASP calculation (PBE) on a relaxed structure of NiIrAu2.

Fermi-level density of states = 3.9 states/eV/f.u.

The structure in POSCAR format:
```
NiIrAu2
1.0
2.8019 0.0000 0.0000
0.0000 2.8019 0.0000
0.0000 0.0000 7.8835
Ni Ir Au
1 1 2
Cartesian
0.0000 0.0000 0.0000
1.4010 1.4010 6.2958
0.0000 0.0000 4.1700
1.4010 1.4010 1.8960
```


Entry z
VASP calculation (PBE) on a relaxed structure of NiIrAu2.

Fermi-level density of states = 4.7 states/eV/f.u.

The structure in POSCAR format:
```
NiIrAu2
1.0
2.7961 0.0000 0.0000
-1.3981 2.4215 0.0000
0.0000 0.0000 27.6968
Ni Ir Au
3 3 6
Cartesian
0.0000 0.0000 0.0000
0.0000 1.6143 18.4646
1.3981 0.8072 9.2323
0.0000 0.0000 7.2757
0.0000 1.6143 25.7403
1.3981 0.8072 16.5080
0.0000 0.0000 14.0439
0.0000 0.0000 20.6635
0.0000 1.6143 4.8116
0.0000 1.6143 11.4312
1.3981 0.8072 2.1989
1.3981 0.8072 23.2762
```


Short version: entry x is the least stable of them.


Entry w
VASP calculation (PBE) on a relaxed structure of NiIrAu2.

Fermi-level density of states = 5.2 states/eV/f.u.

The structure in POSCAR format:
```
NiIrAu2
1.0
3.9745 0.0000 0.0000
0.0000 3.9745 0.0000
0.0000 0.0000 7.8673
Ni Ir Au
2 2 4
Cartesian
0.0000 0.0000 0.0000
1.9873 1.9873 3.9336
0.0000 1.9873 1.9668
1.9873 0.0000 5.9005
0.0000 0.0000 3.9336
0.0000 1.9873 5.9005
1.9873 0.0000 1.9668
1.9873 1.9873 0.0000
```


Entry x
VASP calculation (PBE) on a relaxed structure of NiIrAu2.

Fermi-level density of states = 5.5 states/eV/f.u.

The structure in POSCAR format:
```
NiIrAu2
1.0
2.7972 0.0000 0.0000
0.0000 4.7761 0.0000
0.0000 0.0000 9.5174
Ni Ir Au
2 2 4
Cartesian
0.0000 0.0000 0.0000
1.3986 2.3881 0.0000
0.0000 2.3881 7.4666
1.3986 0.0000 7.4666
0.0000 0.0000 4.9317
0.0000 2.3881 2.2781
1.3986 0.0000 2.2781
1.3986 2.3881 4.9317
```


Short version: entry w is the least stable of them.


Entry w
VASP calculation (PBE) on a relaxed structure of NiIrAu2.

Fermi-level density of states = 4.9 states/eV/f.u.

The structure in POSCAR format:
```
NiIrAu2
1.0
4.7294 0.0000 0.0000
0.0000 4.7294 0.0000
0.0000 0.0000 2.8002
Ni Ir Au
1 1 2
Cartesian
0.0000 0.0000 0.0000
2.3647 2.3647 0.0000
0.0000 2.3647 1.4001
2.3647 0.0000 1.4001
```


Entry x
VASP calculation (PBE) on a relaxed structure of NiIrAu2.

Fermi-level density of states = 5.7 states/eV/f.u.

The structure in POSCAR format:
```
NiIrAu2
1.0
6.3096 0.0000 0.0000
0.0000 6.3096 0.0000
0.0000 0.0000 6.3096
Ni Ir Au
4 4 8
Cartesian
0.0000 0.0000 0.0000
0.0000 3.1548 3.1548
3.1548 0.0000 3.1548
3.1548 3.1548 0.0000
1.5774 1.5774 4.7322
1.5774 4.7322 1.5774
4.7322 1.5774 1.5774
4.7322 4.7322 4.7322
0.0000 0.0000 3.1548
0.0000 3.1548 0.0000
1.5774 1.5774 1.5774
1.5774 4.7322 4.7322
3.1548 0.0000 0.0000
3.1548 3.1548 3.1548
4.7322 1.5774 4.7322
4.7322 4.7322 1.5774
```


Entry y
VASP calculation (PBE) on a relaxed structure of NiIrAu2.

Fermi-level density of states = 5.1 states/eV/f.u.

The structure in POSCAR format:
```
NiIrAu2
1.0
2.7769 0.0000 0.0000
0.0000 4.7432 0.0000
0.0000 0.0000 9.5006
Ni Ir Au
2 2 4
Cartesian
0.0000 0.0000 0.0000
1.3885 2.3716 4.7503
0.0000 2.3716 2.6799
1.3885 0.0000 7.4302
0.0000 0.0000 4.9400
0.0000 2.3716 7.0918
1.3885 0.0000 2.3415
1.3885 2.3716 0.1897
```


Entry z
VASP calculation (PBE) on a relaxed structure of NiIrAu2.

Fermi-level density of states = 5.7 states/eV/f.u.

The structure in POSCAR format:
```
NiIrAu2
1.0
2.7997 0.0000 0.0000
0.0000 4.7910 0.0000
0.0000 0.0000 9.4060
Ni Ir Au
2 2 4
Cartesian
0.0000 0.0000 0.0000
1.3999 2.3955 0.0000
0.0000 0.0000 4.7030
1.3999 2.3955 4.7030
0.0000 2.3955 2.2281
0.0000 2.3955 7.1778
1.3999 0.0000 2.2281
1.3999 0.0000 7.1778
```


Short version: entry x is the least stable of them.


Entry w
VASP calculation (PBE) on a relaxed structure of NiIr2Au.

Fermi-level density of states = 4.3 states/eV/f.u.

The structure in POSCAR format:
```
NiIr2Au
1.0
2.7523 0.0000 0.0000
0.0000 2.7523 0.0000
0.0000 0.0000 7.6625
Ni Ir Au
1 2 1
Cartesian
0.0000 0.0000 0.0000
1.3761 1.3761 1.6753
1.3761 1.3761 5.9872
0.0000 0.0000 3.8312
```


Entry x
VASP calculation (PBE) on a relaxed structure of NiIr2Au.

Fermi-level density of states = 4.3 states/eV/f.u.

The structure in POSCAR format:
```
NiIr2Au
1.0
2.7739 0.0000 0.0000
0.0000 3.7844 0.0000
0.0000 0.0000 5.5940
Ni Ir Au
1 2 1
Cartesian
0.0000 0.0000 0.0000
0.0000 0.0000 3.0443
1.3869 1.8922 4.2331
1.3869 1.8922 1.3862
```


Short version: entry w is the least stable of them.